Here is an optimized crystal structure of Cs2MnBO4 from the Alexandria database. Energies are from PBE+U.

Calculated values
- Total magnetization: 0.250 μB/atom
- Energy: -0.22422 Ha/atom
- SG: Fddd (70)

Unit cell a=12.512 b=11.243 c=6.456 alpha=85.45 beta=63.60 gamma=30.95
Positions (direct):
1 Cs 0.048 0.048 0.702
2 Cs 0.298 0.298 0.952
3 Cs 0.702 0.702 0.048
4 Cs 0.952 0.952 0.298
5 Mn 0.125 0.125 0.125
6 Mn 0.875 0.875 0.875
7 B 0.375 0.375 0.375
8 B 0.625 0.625 0.625
9 O 0.071 0.605 0.540
10 O 0.284 0.540 0.605
11 O 0.395 0.929 0.716
12 O 0.460 0.716 0.929
13 O 0.540 0.284 0.071
14 O 0.605 0.071 0.284
15 O 0.716 0.460 0.395
16 O 0.929 0.395 0.460